Entry 1:
DFT (PBE-GGA) results for crystalline KSc2Cr at its relaxed geometry.

The structure belongs to space group R-3m (No. 166, hexagonal axes); the cell edges are 3.3065, 3.3065 and 33.3063 Å and the angles 90.00°, 90.00° and 120.00°. The distinct sites, in fractional coordinates, are K at (0.0000, 0.0000, 0.0000), Sc at (0.0000, 0.0000, 0.2278) and Cr at (0.0000, 0.0000, 0.5000).

The value obtained for the energy relative to the lowest polymorph listed for this composition is 0.215 eV/atom. The formation energy is 0.581 eV per atom. The calculation puts the density of states at the Fermi level at 1.35 states/eV per atom.

=====

Entry 2:
DFT (PBE-GGA) results for crystalline K2ScCr at its relaxed geometry.

The structure belongs to space group I4/mmm (No. 139); the cell edges are 4.620, 4.620 and 12.621 Å and the angles 90.00°, 90.00° and 90.00°. The distinct sites, in fractional coordinates, are K at (0.000, 0.500, 0.250), Sc at (0.000, 0.000, 0.000) and Cr at (0.000, 0.000, 0.500).

The value obtained for the energy relative to the lowest polymorph listed for this composition is 0.345 eV/atom. The formation energy is 0.966 eV per atom. The calculation puts the density of states at the Fermi level at 1.15 states/eV per atom.

=====

Question: The highest energy relative to the lowest polymorph listed for this composition belongs to which entry?
Answer: K2ScCr

=====

Question: What is the energy relative to the lowest polymorph listed for this composition in the first record?
Answer: 0.215 eV/atom

=====

Question: Look up the energy relative to the lowest polymorph listed for this composition of the first one.
Answer: 0.215 eV/atom